BaSrCd2Tc: relaxed, PBE.

Unit cell a=5.511 b=5.511 c=5.285 alpha=90.00 beta=90.00 gamma=90.00
Positions (direct):
Ba 0.000 0.000 0.000
Sr 0.500 0.500 0.000
Cd 0.000 0.500 0.500
Cd 0.500 0.000 0.500
Tc 0.500 0.500 0.500

DOS(E_F) = 0.706 states/eV per atom
total magnetization = 0.00 μB per formula unit
ΔH_f (0 K) = 0.29 eV per atom
space group = No. 123



BaSr2CdTe4: relaxed, PBE.

Unit cell a=8.255 b=8.255 c=16.519 alpha=90.00 beta=90.00 gamma=146.81
Positions (direct):
Ba 0.123 0.877 0.750
Ba 0.877 0.123 0.250
Sr 0.371 0.629 0.557
Sr 0.371 0.629 0.943
Sr 0.629 0.371 0.057
Sr 0.629 0.371 0.443
Cd 0.153 0.847 0.250
Cd 0.847 0.153 0.750
Te 0.000 0.000 0.000
Te 0.000 0.000 0.500
Te 0.271 0.729 0.121
Te 0.271 0.729 0.379
Te 0.453 0.547 0.750
Te 0.547 0.453 0.250
Te 0.729 0.271 0.621
Te 0.729 0.271 0.879

total magnetization = 0.00 μB per formula unit
space group = No. 63
raw formation energy = -1065 kJ/mol of formula units



Ba2SrTiCd: relaxed, PBE.

Unit cell a=6.276 b=6.276 c=5.606 alpha=90.00 beta=90.00 gamma=90.00
Positions (direct):
Ba 0.000 0.500 0.000
Ba 0.500 0.000 0.000
Sr 0.000 0.000 0.500
Ti 0.500 0.500 0.000
Cd 0.500 0.500 0.500

DOS(E_F) = 1.542 states/eV per atom
total magnetization = 2.25 μB per formula unit
ΔH_f (0 K) = 0.46 eV per atom
space group = No. 123